Entry P
## PrNd2Tl2 (PBE)

Data for PrNd2Tl2 after structural relaxation. Values from VASP.

## Properties
DOS at the Fermi energy, states/eV/f.u.: 2.41

Quantum ESPRESSO input file:
```
&SYSTEM
  ibrav = 0, nat = 10, ntyp = 3
/
ATOMIC_SPECIES
Pr 140.91 Pr.upf
Nd 144.24 Nd.upf
Tl 204.38 Tl.upf
CELL_PARAMETERS angstrom
5.313 0.000 0.000
-2.657 4.601 0.000
0.000 0.000 13.199
ATOMIC_POSITIONS crystal
Pr 0.000 0.000 0.250
Pr 0.000 0.000 0.750
Nd 0.000 0.000 0.000
Nd 0.000 0.000 0.500
Nd 0.333 0.667 0.250
Nd 0.667 0.333 0.750
Tl 0.333 0.667 0.628
Tl 0.333 0.667 0.872
Tl 0.667 0.333 0.128
Tl 0.667 0.333 0.372
```


Entry Q
## PrNd2Tl2 (PBE)

Data for PrNd2Tl2 after structural relaxation. Values from VASP.

## Properties
DOS at the Fermi energy, states/eV/f.u.: 5.21

Quantum ESPRESSO input file:
```
&SYSTEM
  ibrav = 0, nat = 5, ntyp = 3
/
ATOMIC_SPECIES
Pr 140.91 Pr.upf
Nd 144.24 Nd.upf
Tl 204.38 Tl.upf
CELL_PARAMETERS angstrom
3.369 -3.369 0.000
3.369 3.369 0.000
-3.353 0.000 7.235
ATOMIC_POSITIONS crystal
Pr 0.000 0.000 0.000
Nd 0.250 0.750 0.500
Nd 0.750 0.250 0.500
Tl 0.401 0.401 0.804
Tl 0.599 0.599 0.196
```


Stability order, top to bottom: entry Q, entry P


Entry P
## Pr2Nd4Tl (PBE)

Data for Pr2Nd4Tl after structural relaxation. Values from VASP.

## Properties
DOS at the Fermi energy, states/eV/f.u.: 8.04

Quantum ESPRESSO input file:
```
&SYSTEM
  ibrav = 0, nat = 7, ntyp = 3
/
ATOMIC_SPECIES
Pr 140.91 Pr.upf
Nd 144.24 Nd.upf
Tl 204.38 Tl.upf
CELL_PARAMETERS angstrom
8.560 -1.803 0.000
8.560 1.803 0.000
-4.018 0.000 7.862
ATOMIC_POSITIONS crystal
Pr 0.218 0.218 0.143
Pr 0.782 0.782 0.857
Nd 0.078 0.078 0.706
Nd 0.366 0.366 0.601
Nd 0.634 0.634 0.399
Nd 0.922 0.922 0.294
Tl 0.000 0.000 0.000
```


Entry Q
## Pr2Nd4Tl (PBE)

Data for Pr2Nd4Tl after structural relaxation. Values from VASP.

## Properties
DOS at the Fermi energy, states/eV/f.u.: 10.07

Quantum ESPRESSO input file:
```
&SYSTEM
  ibrav = 0, nat = 14, ntyp = 3
/
ATOMIC_SPECIES
Pr 140.91 Pr.upf
Nd 144.24 Nd.upf
Tl 204.38 Tl.upf
CELL_PARAMETERS angstrom
6.699 0.000 0.000
0.000 6.477 0.000
0.000 0.000 11.038
ATOMIC_POSITIONS crystal
Pr 0.000 0.245 0.042
Pr 0.000 0.755 0.958
Pr 0.500 0.245 0.458
Pr 0.500 0.755 0.542
Nd 0.000 0.070 0.346
Nd 0.000 0.930 0.654
Nd 0.250 0.395 0.750
Nd 0.250 0.605 0.250
Nd 0.500 0.070 0.154
Nd 0.500 0.930 0.846
Nd 0.750 0.395 0.750
Nd 0.750 0.605 0.250
Tl 0.000 0.500 0.500
Tl 0.500 0.500 0.000
```


Stability order, top to bottom: entry Q, entry P


Entry P
## Pr3NdTl4 (PBE)

Data for Pr3NdTl4 after structural relaxation. Values from VASP.

## Properties
DOS at the Fermi energy, states/eV/f.u.: 7.66

Quantum ESPRESSO input file:
```
&SYSTEM
  ibrav = 0, nat = 8, ntyp = 3
/
ATOMIC_SPECIES
Pr 140.91 Pr.upf
Nd 144.24 Nd.upf
Tl 204.38 Tl.upf
CELL_PARAMETERS angstrom
3.928 0.000 0.000
0.000 3.928 0.000
0.000 0.000 15.704
ATOMIC_POSITIONS crystal
Pr 0.000 0.000 0.000
Pr 0.000 0.000 0.251
Pr 0.000 0.000 0.749
Nd 0.000 0.000 0.500
Tl 0.500 0.500 0.126
Tl 0.500 0.500 0.377
Tl 0.500 0.500 0.623
Tl 0.500 0.500 0.874
```


Entry Q
## Pr3NdTl4 (PBE)

Data for Pr3NdTl4 after structural relaxation. Values from VASP.

## Properties
DOS at the Fermi energy, states/eV/f.u.: 7.68

Quantum ESPRESSO input file:
```
&SYSTEM
  ibrav = 0, nat = 8, ntyp = 3
/
ATOMIC_SPECIES
Pr 140.91 Pr.upf
Nd 144.24 Nd.upf
Tl 204.38 Tl.upf
CELL_PARAMETERS angstrom
-1.880 3.727 9.375
1.880 -3.727 9.375
1.880 3.727 -9.375
ATOMIC_POSITIONS crystal
Pr 0.000 0.000 0.000
Pr 0.285 0.785 0.500
Pr 0.715 0.215 0.500
Nd 0.500 0.500 0.000
Tl 0.082 0.373 0.710
Tl 0.337 0.627 0.710
Tl 0.663 0.373 0.290
Tl 0.918 0.627 0.290
```


Stability order, top to bottom: entry P, entry Q


Entry P
## Pr4Nd8Tm3 (PBE)

Data for Pr4Nd8Tm3 after structural relaxation. Values from VASP.

## Properties
DOS at the Fermi energy, states/eV/f.u.: 22.73

Quantum ESPRESSO input file:
```
&SYSTEM
  ibrav = 0, nat = 15, ntyp = 3
/
ATOMIC_SPECIES
Pr 140.91 Pr.upf
Nd 144.24 Nd.upf
Tm 168.93 Tm.upf
CELL_PARAMETERS angstrom
3.540 2.044 12.111
-3.540 2.044 12.111
0.000 -4.088 12.111
ATOMIC_POSITIONS crystal
Pr 0.000 0.000 0.000
Pr 0.164 0.164 0.164
Pr 0.500 0.500 0.500
Pr 0.836 0.836 0.836
Nd 0.249 0.249 0.746
Nd 0.249 0.746 0.249
Nd 0.254 0.751 0.751
Nd 0.255 0.255 0.255
Nd 0.745 0.745 0.745
Nd 0.746 0.249 0.249
Nd 0.751 0.254 0.751
Nd 0.751 0.751 0.254
Tm 0.000 0.500 0.500
Tm 0.500 0.000 0.500
Tm 0.500 0.500 0.000
```


Entry Q
## Pr4Nd8Tm3 (PBE)

Data for Pr4Nd8Tm3 after structural relaxation. Values from VASP.

## Properties
DOS at the Fermi energy, states/eV/f.u.: 28.54

Quantum ESPRESSO input file:
```
&SYSTEM
  ibrav = 0, nat = 15, ntyp = 3
/
ATOMIC_SPECIES
Pr 140.91 Pr.upf
Nd 144.24 Nd.upf
Tm 168.93 Tm.upf
CELL_PARAMETERS angstrom
6.869 -6.499 0.000
6.869 6.499 0.000
-3.443 0.000 5.968
ATOMIC_POSITIONS crystal
Pr 0.000 0.000 0.000
Pr 0.000 0.000 0.500
Pr 0.000 0.500 0.000
Pr 0.500 0.000 0.000
Nd 0.255 0.745 0.000
Nd 0.261 0.261 0.521
Nd 0.274 0.274 0.058
Nd 0.355 0.645 0.500
Nd 0.645 0.355 0.500
Nd 0.726 0.726 0.942
Nd 0.739 0.739 0.479
Nd 0.745 0.255 0.000
Tm 0.000 0.500 0.500
Tm 0.500 0.000 0.500
Tm 0.500 0.500 0.000
```


Stability order, top to bottom: entry P, entry Q


Entry P
## Pr2Nd3Tm8 (PBE)

Data for Pr2Nd3Tm8 after structural relaxation. Values from VASP.

## Properties
DOS at the Fermi energy, states/eV/f.u.: 18.78

Quantum ESPRESSO input file:
```
&SYSTEM
  ibrav = 0, nat = 13, ntyp = 3
/
ATOMIC_SPECIES
Pr 140.91 Pr.upf
Nd 144.24 Nd.upf
Tm 168.93 Tm.upf
CELL_PARAMETERS angstrom
8.144 0.000 0.000
0.000 5.281 0.000
-2.828 0.000 10.062
ATOMIC_POSITIONS crystal
Pr 0.176 0.000 0.102
Pr 0.824 0.000 0.898
Nd 0.226 0.500 0.568
Nd 0.500 0.000 0.500
Nd 0.774 0.500 0.432
Tm 0.034 0.000 0.354
Tm 0.115 0.500 0.881
Tm 0.345 0.500 0.267
Tm 0.387 0.000 0.819
Tm 0.613 0.000 0.181
Tm 0.655 0.500 0.733
Tm 0.885 0.500 0.119
Tm 0.966 0.000 0.646
```


Entry Q
## Pr2Nd3Tm8 (PBE)

Data for Pr2Nd3Tm8 after structural relaxation. Values from VASP.

## Properties
DOS at the Fermi energy, states/eV/f.u.: 19.43

Quantum ESPRESSO input file:
```
&SYSTEM
  ibrav = 0, nat = 13, ntyp = 3
/
ATOMIC_SPECIES
Pr 140.91 Pr.upf
Nd 144.24 Nd.upf
Tm 168.93 Tm.upf
CELL_PARAMETERS angstrom
6.586 0.000 0.000
-2.108 8.501 0.000
-3.236 -3.715 7.572
ATOMIC_POSITIONS crystal
Pr 0.122 0.246 0.269
Pr 0.878 0.754 0.731
Nd 0.000 0.000 0.500
Nd 0.289 0.906 0.224
Nd 0.711 0.094 0.776
Tm 0.119 0.484 0.854
Tm 0.268 0.673 0.582
Tm 0.347 0.167 0.968
Tm 0.486 0.597 0.275
Tm 0.514 0.403 0.725
Tm 0.653 0.833 0.032
Tm 0.732 0.327 0.418
Tm 0.881 0.516 0.146
```


Stability order, top to bottom: entry Q, entry P


Entry P
## Pr5NdTm3 (PBE)

Data for Pr5NdTm3 after structural relaxation. Values from VASP.

## Properties
DOS at the Fermi energy, states/eV/f.u.: 13.48

Quantum ESPRESSO input file:
```
&SYSTEM
  ibrav = 0, nat = 18, ntyp = 3
/
ATOMIC_SPECIES
Pr 140.91 Pr.upf
Nd 144.24 Nd.upf
Tm 168.93 Tm.upf
CELL_PARAMETERS angstrom
10.166 -3.157 0.000
10.166 3.157 0.000
-6.136 0.000 9.878
ATOMIC_POSITIONS crystal
Pr 0.040 0.677 0.341
Pr 0.105 0.895 0.750
Pr 0.136 0.505 0.665
Pr 0.323 0.960 0.159
Pr 0.495 0.864 0.835
Pr 0.505 0.136 0.165
Pr 0.677 0.040 0.841
Pr 0.864 0.495 0.335
Pr 0.895 0.105 0.250
Pr 0.960 0.323 0.659
Nd 0.377 0.623 0.250
Nd 0.623 0.377 0.750
Tm 0.097 0.551 0.973
Tm 0.449 0.903 0.527
Tm 0.500 0.500 0.000
Tm 0.500 0.500 0.500
Tm 0.551 0.097 0.473
Tm 0.903 0.449 0.027
```


Entry Q
## Pr5NdTm3 (PBE)

Data for Pr5NdTm3 after structural relaxation. Values from VASP.

## Properties
DOS at the Fermi energy, states/eV/f.u.: 14.12

Quantum ESPRESSO input file:
```
&SYSTEM
  ibrav = 0, nat = 18, ntyp = 3
/
ATOMIC_SPECIES
Pr 140.91 Pr.upf
Nd 144.24 Nd.upf
Tm 168.93 Tm.upf
CELL_PARAMETERS angstrom
-4.631 4.631 7.335
4.631 -4.631 7.335
4.631 4.631 -7.335
ATOMIC_POSITIONS crystal
Pr 0.000 0.000 0.000
Pr 0.068 0.568 0.900
Pr 0.168 0.068 0.500
Pr 0.332 0.832 0.900
Pr 0.432 0.332 0.500
Pr 0.500 0.500 0.000
Pr 0.568 0.668 0.500
Pr 0.668 0.168 0.100
Pr 0.832 0.932 0.500
Pr 0.932 0.432 0.100
Nd 0.250 0.750 0.500
Nd 0.750 0.250 0.500
Tm 0.111 0.389 0.500
Tm 0.250 0.250 0.000
Tm 0.389 0.889 0.278
Tm 0.611 0.111 0.722
Tm 0.750 0.750 0.000
Tm 0.889 0.611 0.500
```


Stability order, top to bottom: entry P, entry Q


Entry P
## Pr4NdTm7 (PBE)

Data for Pr4NdTm7 after structural relaxation. Values from VASP.

## Properties
DOS at the Fermi energy, states/eV/f.u.: 16.26

Quantum ESPRESSO input file:
```
&SYSTEM
  ibrav = 0, nat = 12, ntyp = 3
/
ATOMIC_SPECIES
Pr 140.91 Pr.upf
Nd 144.24 Nd.upf
Tm 168.93 Tm.upf
CELL_PARAMETERS angstrom
7.139 0.000 0.000
-1.720 7.792 0.000
-3.549 -1.630 6.976
ATOMIC_POSITIONS crystal
Pr 0.001 0.332 0.336
Pr 0.252 0.668 0.170
Pr 0.748 0.332 0.830
Pr 0.999 0.668 0.664
Nd 0.500 0.000 0.000
Tm 0.000 0.000 0.000
Tm 0.249 0.999 0.498
Tm 0.251 0.332 0.835
Tm 0.498 0.331 0.331
Tm 0.502 0.669 0.669
Tm 0.749 0.668 0.165
Tm 0.751 0.001 0.502
```


Entry Q
## Pr4NdTm7 (PBE)

Data for Pr4NdTm7 after structural relaxation. Values from VASP.

## Properties
DOS at the Fermi energy, states/eV/f.u.: 18.93

Quantum ESPRESSO input file:
```
&SYSTEM
  ibrav = 0, nat = 12, ntyp = 3
/
ATOMIC_SPECIES
Pr 140.91 Pr.upf
Nd 144.24 Nd.upf
Tm 168.93 Tm.upf
CELL_PARAMETERS angstrom
6.073 -2.944 0.000
6.073 2.944 0.000
-5.957 0.000 11.327
ATOMIC_POSITIONS crystal
Pr 0.135 0.135 0.277
Pr 0.279 0.279 0.836
Pr 0.721 0.721 0.164
Pr 0.865 0.865 0.723
Nd 0.500 0.500 0.500
Tm 0.000 0.000 0.500
Tm 0.133 0.133 0.995
Tm 0.289 0.289 0.577
Tm 0.430 0.430 0.187
Tm 0.570 0.570 0.813
Tm 0.711 0.711 0.423
Tm 0.867 0.867 0.005
```


Stability order, top to bottom: entry P, entry Q


Entry P
## Pr7Nd12Tm (PBE)

Data for Pr7Nd12Tm after structural relaxation. Values from VASP.

## Properties
DOS at the Fermi energy, states/eV/f.u.: 29.22

Quantum ESPRESSO input file:
```
&SYSTEM
  ibrav = 0, nat = 20, ntyp = 3
/
ATOMIC_SPECIES
Pr 140.91 Pr.upf
Nd 144.24 Nd.upf
Tm 168.93 Tm.upf
CELL_PARAMETERS angstrom
-5.851 5.851 5.851
5.851 -5.851 5.851
5.851 5.851 -5.851
ATOMIC_POSITIONS crystal
Pr 0.000 0.000 0.500
Pr 0.000 0.500 0.000
Pr 0.000 0.500 0.500
Pr 0.500 0.000 0.000
Pr 0.500 0.000 0.500
Pr 0.500 0.500 0.000
Pr 0.500 0.500 0.500
Nd 0.000 0.245 0.755
Nd 0.000 0.755 0.245
Nd 0.245 0.000 0.755
Nd 0.245 0.245 0.491
Nd 0.245 0.491 0.245
Nd 0.245 0.755 0.000
Nd 0.491 0.245 0.245
Nd 0.509 0.755 0.755
Nd 0.755 0.000 0.245
Nd 0.755 0.245 0.000
Nd 0.755 0.509 0.755
Nd 0.755 0.755 0.509
Tm 0.000 0.000 0.000
```


Entry Q
## Pr7Nd12Tm (PBE)

Data for Pr7Nd12Tm after structural relaxation. Values from VASP.

## Properties
DOS at the Fermi energy, states/eV/f.u.: 40.30

Quantum ESPRESSO input file:
```
&SYSTEM
  ibrav = 0, nat = 20, ntyp = 3
/
ATOMIC_SPECIES
Pr 140.91 Pr.upf
Nd 144.24 Nd.upf
Tm 168.93 Tm.upf
CELL_PARAMETERS angstrom
6.210 3.585 5.380
-6.210 3.585 5.380
0.000 -7.171 5.380
ATOMIC_POSITIONS crystal
Pr 0.000 0.000 0.000
Pr 0.107 0.423 0.351
Pr 0.351 0.107 0.423
Pr 0.423 0.351 0.107
Pr 0.577 0.649 0.893
Pr 0.649 0.893 0.577
Pr 0.893 0.577 0.649
Nd 0.007 0.886 0.362
Nd 0.114 0.638 0.993
Nd 0.226 0.357 0.753
Nd 0.247 0.774 0.643
Nd 0.357 0.753 0.226
Nd 0.362 0.007 0.886
Nd 0.638 0.993 0.114
Nd 0.643 0.247 0.774
Nd 0.753 0.226 0.357
Nd 0.774 0.643 0.247
Nd 0.886 0.362 0.007
Nd 0.993 0.114 0.638
Tm 0.500 0.500 0.500
```


Stability order, top to bottom: entry Q, entry P


Entry P
## Pr4Nd2Tm5 (PBE)

Data for Pr4Nd2Tm5 after structural relaxation. Values from VASP.

## Properties
DOS at the Fermi energy, states/eV/f.u.: 18.76

Quantum ESPRESSO input file:
```
&SYSTEM
  ibrav = 0, nat = 11, ntyp = 3
/
ATOMIC_SPECIES
Pr 140.91 Pr.upf
Nd 144.24 Nd.upf
Tm 168.93 Tm.upf
CELL_PARAMETERS angstrom
3.601 0.000 0.000
0.056 8.677 0.000
1.306 0.115 11.808
ATOMIC_POSITIONS crystal
Pr 0.010 0.206 0.472
Pr 0.118 0.254 0.177
Pr 0.882 0.746 0.823
Pr 0.990 0.794 0.528
Nd 0.145 0.651 0.102
Nd 0.855 0.349 0.898
Tm 0.408 0.075 0.718
Tm 0.455 0.471 0.649
Tm 0.500 0.000 0.000
Tm 0.545 0.529 0.351
Tm 0.592 0.925 0.282
```


Entry Q
## Pr4Nd2Tm5 (PBE)

Data for Pr4Nd2Tm5 after structural relaxation. Values from VASP.

## Properties
DOS at the Fermi energy, states/eV/f.u.: 17.14

Quantum ESPRESSO input file:
```
&SYSTEM
  ibrav = 0, nat = 11, ntyp = 3
/
ATOMIC_SPECIES
Pr 140.91 Pr.upf
Nd 144.24 Nd.upf
Tm 168.93 Tm.upf
CELL_PARAMETERS angstrom
12.126 -1.773 0.000
12.126 1.773 0.000
-0.594 0.000 8.700
ATOMIC_POSITIONS crystal
Pr 0.042 0.042 0.339
Pr 0.411 0.411 0.302
Pr 0.589 0.589 0.698
Pr 0.958 0.958 0.661
Nd 0.274 0.274 0.174
Nd 0.726 0.726 0.826
Tm 0.131 0.131 0.048
Tm 0.188 0.188 0.472
Tm 0.500 0.500 0.000
Tm 0.812 0.812 0.528
Tm 0.869 0.869 0.952
```


Stability order, top to bottom: entry P, entry Q


Entry P
## Pr3Nd8Tm2 (PBE)

Data for Pr3Nd8Tm2 after structural relaxation. Values from VASP.

## Properties
DOS at the Fermi energy, states/eV/f.u.: 19.43

Quantum ESPRESSO input file:
```
&SYSTEM
  ibrav = 0, nat = 13, ntyp = 3
/
ATOMIC_SPECIES
Pr 140.91 Pr.upf
Nd 144.24 Nd.upf
Tm 168.93 Tm.upf
CELL_PARAMETERS angstrom
10.245 -3.900 0.000
10.245 3.900 0.000
-0.005 0.000 5.846
ATOMIC_POSITIONS crystal
Pr 0.000 0.000 0.000
Pr 0.289 0.711 0.500
Pr 0.711 0.289 0.500
Nd 0.136 0.136 0.499
Nd 0.183 0.599 0.000
Nd 0.324 0.324 0.499
Nd 0.401 0.817 0.000
Nd 0.599 0.183 0.000
Nd 0.676 0.676 0.501
Nd 0.817 0.401 0.000
Nd 0.864 0.864 0.501
Tm 0.241 0.241 0.998
Tm 0.759 0.759 0.002
```


Entry Q
## Pr3Nd8Tm2 (PBE)

Data for Pr3Nd8Tm2 after structural relaxation. Values from VASP.

## Properties
DOS at the Fermi energy, states/eV/f.u.: 22.80

Quantum ESPRESSO input file:
```
&SYSTEM
  ibrav = 0, nat = 13, ntyp = 3
/
ATOMIC_SPECIES
Pr 140.91 Pr.upf
Nd 144.24 Nd.upf
Tm 168.93 Tm.upf
CELL_PARAMETERS angstrom
6.659 -5.959 0.000
6.659 5.959 0.000
-2.462 0.000 5.748
ATOMIC_POSITIONS crystal
Pr 0.000 0.000 0.000
Pr 0.243 0.757 0.500
Pr 0.757 0.243 0.500
Nd 0.082 0.569 0.826
Nd 0.155 0.155 0.549
Nd 0.431 0.918 0.174
Nd 0.444 0.444 0.711
Nd 0.556 0.556 0.289
Nd 0.569 0.082 0.826
Nd 0.845 0.845 0.451
Nd 0.918 0.431 0.174
Tm 0.289 0.289 0.140
Tm 0.711 0.711 0.860
```


Stability order, top to bottom: entry Q, entry P